{"formula": "CeMnSe2O", "functional": "PBE with a Hubbard U", "state": "relaxed", "lattice_angstrom": [[3.8235, 0.0000, 0.0000], [0.0000, 3.8235, 0.0000], [0.0000, 0.0000, 16.9772]], "species": ["Ce", "Ce", "Mn", "Mn", "Se", "Se", "Se", "Se", "O", "O"], "frac_coords": [[0.2500, 0.2500, 0.0772], [0.7500, 0.7500, 0.9228], [0.2500, 0.2500, 0.4314], [0.7500, 0.7500, 0.5686], [0.2500, 0.2500, 0.5905], [0.2500, 0.2500, 0.8379], [0.7500, 0.7500, 0.1621], [0.7500, 0.7500, 0.4095], [0.2500, 0.7500, 0.0000], [0.7500, 0.2500, 0.0000]], "energy_ev_per_cell": -68.243}